[1]
The following is a DFT calculation (SCAN) of a crystal of ZnPbSeBr2 relaxed with PBEsol.

```
data_ZnPbSeBr2
_space_group_name_H-M_alt 'P 1'
_space_group_IT_number 1
_space_group_name_Hall 'P 1'
_cell_length_a 4.9718
_cell_length_b 4.9718
_cell_length_c 5.1221
_cell_angle_alpha 90.00
_cell_angle_beta 90.00
_cell_angle_gamma 90.00
loop_
_atom_site_label
_atom_site_type_symbol
_atom_site_fract_x
_atom_site_fract_y
_atom_site_fract_z
Pb1 Pb 0.5000 0.5000 0.5000
Zn1 Zn 0.0000 0.0000 0.0000
Se1 Se 0.0000 0.0000 0.5000
Br1 Br 0.0000 0.5000 0.0000
Br2 Br 0.5000 0.0000 0.0000
```

## Properties
Formation energy from raw total energies   -449.5 meV/atom



[2]
The following is a DFT calculation (SCAN) of a crystal of Si2Pb2Br relaxed with PBEsol.

```
data_Si2Pb2Br
_space_group_name_H-M_alt 'P 1'
_space_group_IT_number 1
_space_group_name_Hall 'P 1'
_cell_length_a 5.1817
_cell_length_b 5.1817
_cell_length_c 6.2917
_cell_angle_alpha 90.00
_cell_angle_beta 90.00
_cell_angle_gamma 90.00
loop_
_atom_site_label
_atom_site_type_symbol
_atom_site_fract_x
_atom_site_fract_y
_atom_site_fract_z
Pb1 Pb 0.0000 0.0000 0.0000
Pb2 Pb 0.0000 0.0000 0.5000
Si1 Si 0.0000 0.5000 0.0000
Si2 Si 0.5000 0.0000 0.0000
Br1 Br 0.5000 0.5000 0.5000
```

## Properties
Formation energy from raw total energies   1057.0 meV/atom



[3]
The following is a DFT calculation (SCAN) of a crystal of Si2PbBr relaxed with PBEsol.

```
data_Si2PbBr
_space_group_name_H-M_alt 'P 1'
_space_group_IT_number 1
_space_group_name_Hall 'P 1'
_cell_length_a 3.1983
_cell_length_b 4.6048
_cell_length_c 6.0930
_cell_angle_alpha 90.00
_cell_angle_beta 90.00
_cell_angle_gamma 90.00
loop_
_atom_site_label
_atom_site_type_symbol
_atom_site_fract_x
_atom_site_fract_y
_atom_site_fract_z
Br1 Br 0.5000 0.5000 0.0000
Pb1 Pb 0.5000 0.5000 0.5000
Si1 Si 0.0000 0.0000 0.7979
Si2 Si 0.0000 0.0000 0.2021
```

## Properties
Formation energy from raw total energies   735.2 meV/atom



[4]
The following is a DFT calculation (SCAN) of a crystal of Si2PbBr relaxed with PBEsol.

```
data_Si2PbBr
_space_group_name_H-M_alt 'P 1'
_space_group_IT_number 1
_space_group_name_Hall 'P 1'
_cell_length_a 3.2093
_cell_length_b 3.2093
_cell_length_c 9.6071
_cell_angle_alpha 90.00
_cell_angle_beta 90.00
_cell_angle_gamma 117.99
loop_
_atom_site_label
_atom_site_type_symbol
_atom_site_fract_x
_atom_site_fract_y
_atom_site_fract_z
Br1 Br 0.5000 0.5000 0.5000
Pb1 Pb 0.5000 0.5000 0.0000
Si1 Si 0.0000 0.0000 0.2709
Si2 Si 0.0000 0.0000 0.7291
```

## Properties
Formation energy from raw total energies   748.8 meV/atom



Question: formation energy from raw total energies of number 3 (Si2PbBr)?
Answer: 735.2 meV/atom



Question: Look up the formation energy from raw total energies of the third one.
Answer: 735.2 meV/atom



Question: Which of these has the lowest formation energy from raw total energies?
Answer: ZnPbSeBr2



Question: The highest formation energy from raw total energies belongs to which entry?
Answer: Si2Pb2Br